Crystalline Mg2NbHgPd at its relaxed geometry, computed with GGA-PBE.

a b c (Å): 5.339 5.339 5.215
angles (deg): 90.00 90.00 90.00
Space group P4/mmm (No. 123)
Inequivalent atoms, fractional coordinates:
Mg 0.000 0.500 0.000 [2 per cell]
Nb 0.000 0.000 0.000 [1 per cell]
Hg 0.000 0.000 0.500 [1 per cell]
Pd 0.500 0.500 0.500 [1 per cell]

Calculated values
The formation energy comes out at 1251 meV per atom.